This record from Alexandria via LeMat-Bulk describes crystalline NaTiF4 at its relaxed geometry. The functional is PBE-GGA.

Cell and atoms, written as POSCAR:
```
NaTiF4
1.0
5.5498 0.0000 0.0000
0.0000 7.8303 0.1379
0.0000 1.7852 8.0588
F Na Ti
16 4 4
Direct
0.2011 0.5448 0.3228 F
0.5085 0.7278 0.4947 F
0.0085 0.3230 0.1426 F
0.9915 0.2278 0.4947 F
0.7989 0.4552 0.6772 F
0.4915 0.8230 0.1426 F
0.4915 0.2722 0.5053 F
0.5085 0.1770 0.8574 F
0.4960 0.3546 0.1528 F
0.5040 0.6454 0.8472 F
0.2989 0.0448 0.3228 F
0.9960 0.1454 0.8472 F
0.0085 0.7722 0.5053 F
0.9915 0.6770 0.8574 F
0.0040 0.8546 0.1528 F
0.7011 0.9552 0.6772 F
0.2424 0.3999 0.8988 Na
0.7424 0.1001 0.1012 Na
0.7576 0.6001 0.1012 Na
0.2576 0.8999 0.8988 Na
0.7478 0.2056 0.6762 Ti
0.2478 0.2944 0.3238 Ti
0.7522 0.7056 0.6762 Ti
0.2522 0.7944 0.3238 Ti
```

* DFT total energy: -142.867 eV for the cell shown
* formation energy from raw total energies: -3.170 eV/atom
* symmetry: No. 14